Compound: Er8Co2Sb
Source: the Alexandria database
Functional: PBE
Structure: optimized geometry

a b c (Å): 7.691 7.691 5.397
angles (deg): 97.25 97.25 113.33
Element x y z (fractional)
Er  0.071  0.335  0.584
Er  0.249  0.751  0.000
Er  0.335  0.071  0.584
Er  0.392  0.392  0.205
Er  0.608  0.608  0.795
Er  0.665  0.929  0.416
Er  0.751  0.249  0.000
Er  0.929  0.665  0.416
Co  0.307  0.693  0.500
Co  0.693  0.307  0.500
Sb  0.000  0.000  0.000

energy relative to the elements, uncorrected = -0.23 eV/atom
symmetry = C2/m (12)

Compound: Er12CoSb6
Source: the Alexandria database
Functional: PBE
Structure: optimized geometry

a b c (Å): 8.435 8.435 8.435
angles (deg): 99.76 99.76 99.76
Element x y z (fractional)
Er  0.008  0.695  0.943
Er  0.057  0.992  0.305
Er  0.198  0.415  0.546
Er  0.305  0.057  0.992
Er  0.415  0.546  0.198
Er  0.454  0.802  0.585
Er  0.546  0.198  0.415
Er  0.585  0.454  0.802
Er  0.695  0.943  0.008
Er  0.802  0.585  0.454
Er  0.943  0.008  0.695
Er  0.992  0.305  0.057
Co  0.000  0.000  0.000
Sb  0.119  0.645  0.315
Sb  0.315  0.119  0.645
Sb  0.355  0.685  0.881
Sb  0.645  0.315  0.119
Sb  0.685  0.881  0.355
Sb  0.881  0.355  0.685

energy relative to the elements, uncorrected = -0.61 eV/atom
symmetry = R-3 (148)

Compound: ErCoSb
Source: the Alexandria database
Functional: PBE
Structure: optimized geometry

a b c (Å): 4.349 4.349 3.731
angles (deg): 90.00 90.00 120.00
Element x y z (fractional)
Er  0.000  0.000  0.000
Co  0.667  0.333  0.500
Sb  0.333  0.667  0.500

energy relative to the elements, uncorrected = -0.55 eV/atom
symmetry = P-6m2 (187)

Compound: Er5CoSb2
Source: the Alexandria database
Functional: PBE
Structure: optimized geometry

a b c (Å): 7.892 12.058 4.363
angles (deg): 90.00 90.00 90.00
Element x y z (fractional)
Er  0.000  0.000  0.000
Er  0.140  0.306  0.000
Er  0.179  0.563  0.500
Er  0.321  0.063  0.500
Er  0.360  0.806  0.000
Er  0.500  0.500  0.000
Er  0.640  0.194  0.000
Er  0.679  0.937  0.500
Er  0.821  0.437  0.500
Er  0.860  0.694  0.000
Co  0.000  0.500  0.000
Co  0.500  0.000  0.000
Sb  0.068  0.826  0.500
Sb  0.432  0.326  0.500
Sb  0.568  0.674  0.500
Sb  0.932  0.174  0.500

energy relative to the elements, uncorrected = -0.69 eV/atom
symmetry = Pbam (55)
offset from the most stable computed form = 10.2 meV/atom

Compound: Er5CoSb2
Source: the Alexandria database
Functional: PBE
Structure: optimized geometry

a b c (Å): 5.442 5.442 15.672
angles (deg): 90.00 90.00 116.41
Element x y z (fractional)
Er  0.066  0.934  0.601
Er  0.066  0.934  0.899
Er  0.255  0.745  0.250
Er  0.399  0.601  0.639
Er  0.399  0.601  0.861
Er  0.601  0.399  0.139
Er  0.601  0.399  0.361
Er  0.745  0.255  0.750
Er  0.934  0.066  0.101
Er  0.934  0.066  0.399
Co  0.167  0.833  0.750
Co  0.833  0.167  0.250
Sb  0.279  0.721  0.058
Sb  0.279  0.721  0.442
Sb  0.721  0.279  0.558
Sb  0.721  0.279  0.942

energy relative to the elements, uncorrected = -0.35 eV/atom
symmetry = Cmcm (63)
offset from the most stable computed form = 351.8 meV/atom

Compound: Er6CoSb2
Source: the Alexandria database
Functional: PBE
Structure: optimized geometry

a b c (Å): 6.295 7.814 11.634
angles (deg): 90.00 121.32 90.00
Element x y z (fractional)
Er  0.099  0.180  0.458
Er  0.099  0.320  0.958
Er  0.321  0.686  0.458
Er  0.321  0.814  0.958
Er  0.373  0.022  0.251
Er  0.373  0.478  0.751
Er  0.627  0.522  0.249
Er  0.627  0.978  0.749
Er  0.679  0.186  0.042
Er  0.679  0.314  0.542
Er  0.901  0.680  0.042
Er  0.901  0.820  0.542
Co  0.500  0.000  0.500
Co  0.500  0.500  0.000
Sb  0.158  0.114  0.751
Sb  0.158  0.386  0.251
Sb  0.842  0.614  0.749
Sb  0.842  0.886  0.249

energy relative to the elements, uncorrected = -0.52 eV/atom
symmetry = P2_1/c (14)